# In2SnBiSe4 GGA-PBE relaxed
# final energy = -0.27995 Ry/atom
# magnetic moment = 0.00 Bohr magnetons per cell
data_In2SnBiSe4
_cell_length_a 7.4274
_cell_length_b 4.2570
_cell_length_c 7.4686
_cell_angle_alpha 90.00
_cell_angle_beta 109.27
_cell_angle_gamma 90.00
_symmetry_space_group_name_H-M 'P 1 2/m 1'
_symmetry_Int_Tables_number 10
loop_
_symmetry_equiv_pos_as_xyz
'x,y,z'
'-x,-y,-z'
'-x,y,-z'
'x,-y,z'
loop_
_atom_site_label
_atom_site_fract_x
_atom_site_fract_y
_atom_site_fract_z
_atom_site_occupancy
In1 0.0000 0.0000 0.0000 1
In2 0.5000 0.5000 0.0000 1
Sn1 0.0000 0.5000 0.5000 1
Bi1 0.5000 0.0000 0.5000 1
Se1 0.2509 0.0000 0.7443 1
Se2 0.2538 0.5000 0.2577 1